No. 1
DFT (GGA-PBE) results for a geometry-optimized Li6Ge2Pb structure.

Values from the calculation:
Uncorrected energy in eV per atom: -2.9587

Lattice parameters (Å, degrees): 8.106 8.335 4.580 90.00 90.00 90.00
Space group Pnnm (No. 58)
Inequivalent atoms, fractional coordinates:
Li 0.014 0.174 0.000 x4
Li 0.156 0.079 0.500 x4
Li 0.186 0.401 0.500 x4
Ge 0.161 0.745 0.500 x4
Pb 0.000 0.500 0.000 x2

***

No. 2
DFT (GGA-PBE) results for a geometry-optimized Li2Ge2Pb structure.

Values from the calculation:
Excess energy over the best structure of this formula in the dataset in meV per atom: 0.0

Lattice parameters (Å, degrees): 7.885 7.885 3.188 90.00 90.00 90.00
Space group P4/mbm (No. 127)
Inequivalent atoms, fractional coordinates:
Li 0.183 0.317 0.000 x4
Ge 0.113 0.613 0.500 x4
Pb 0.000 0.000 0.500 x2

***

No. 3
DFT (GGA-PBE) results for a geometry-optimized Li5GePb2 structure.

Values from the calculation:
Uncorrected energy in eV per atom: -2.9747

Lattice parameters (Å, degrees): 4.776 4.776 13.304 90.00 90.00 90.00
Space group I4/mmm (No. 139)
Inequivalent atoms, fractional coordinates:
Li 0.000 0.000 0.000 x2
Li 0.000 0.500 0.111 x8
Ge 0.000 0.000 0.500 x2
Pb 0.000 0.000 0.251 x4